First-principles (GGA-PBE) data for SrCoIr4 after structural relaxation, as listed in Alexandria via LeMat-Bulk.

Unit cell a=5.309 b=5.309 c=5.309 alpha=60.00 beta=60.00 gamma=60.00
Last column: magnetic moment on the atom in μB.
Fractional positions:
Sr  0.750  0.750  0.750  -0.01
Co  0.000  0.000  0.000  2.19
Ir  0.877  0.374  0.374  0.48
Ir  0.374  0.374  0.877  0.48
Ir  0.374  0.877  0.374  0.48
Ir  0.374  0.374  0.374  0.48

## Properties
The value obtained for the total energy is -7.08 eV per atom. As for the space group: F-43m. Its energy of formation from the pure elements is 1.73 eV/f.u.